K2BrN2: relaxed, GGA-PBE.

It has space group C2/m (No. 12), with a = 7.8918 Å, b = 4.4951 Å, c = 8.2638 Å, α = 90.00°, β = 112.15° and γ = 90.00°. Symmetry generates all atoms from K at (0.2312, 0.0000, 0.2372), Br at (0.0000, 0.0000, 0.5000) and N at (0.0458, 0.5000, 0.9573).

The total energy comes out at -4.864 eV per atom. The value obtained for the energy relative to the elements, uncorrected is -0.76 eV/atom. Its energy above the lowest structure with this stoichiometry is 0 meV/atom.